Record 1
Computed, not measured: AlCrAgF2 at its PBEsol-relaxed geometry at the meta-GGA SCAN level of DFT.

Cell lengths 3.6675, 3.6675, 6.0001 Å; angles 90.00, 90.00, 90.00 degrees
Closest atoms and distances in Å follow each position.
Fractional coordinates of all 5 atoms:
1 Al 0.0000 0.0000 0.0000  4 F 1.83
2 Cr 0.0000 0.0000 0.5000  4 Ag 2.59
3 Ag 0.5000 0.5000 0.5000  4 Cr 2.59
4 F 0.0000 0.5000 0.0000  2 Al 1.83
5 F 0.5000 0.0000 0.0000  2 Al 1.83

Its space-group type is P4/mmm, No. 123. The calculation puts the energy relative to the elements, uncorrected at -6.0 eV/f.u.

=====

Record 2
Computed, not measured: AlCuAg2 at its PBEsol-relaxed geometry at the meta-GGA SCAN level of DFT.

Cell lengths 2.9561, 2.9561, 6.7663 Å; angles 90.00, 90.00, 90.00 degrees
Closest atoms and distances in Å follow each position.
Fractional coordinates of all 4 atoms:
1 Al 0.0000 0.0000 0.0000  4 Cu 2.50, 4 Ag 2.73
2 Cu 0.5000 0.5000 0.2028  4 Al 2.50, 4 Ag 2.68
3 Ag 0.0000 0.0000 0.4500  4 Cu 2.68, 8 Ag 2.87-2.96
4 Ag 0.5000 0.5000 0.7414  4 Al 2.73, 8 Ag 2.87-2.96

Its space-group type is P4mm, No. 99. The formation energy is -0.44 eV/f.u.

=====

Record 3
Computed, not measured: Al2CuAg at its PBEsol-relaxed geometry at the meta-GGA SCAN level of DFT.

Cell lengths 8.6336, 8.6336, 8.6336 Å; angles 18.91, 18.91, 18.91 degrees
Closest atoms and distances in Å follow each position.
Fractional coordinates of all 4 atoms:
1 Al 0.2445 0.2445 0.2445  3 Cu 2.57, 3 Ag 2.79, 6 Al 2.84
2 Al 0.7555 0.7555 0.7555  3 Cu 2.57, 3 Ag 2.79, 6 Al 2.84
3 Cu 0.5000 0.5000 0.5000  6 Al 2.57, 6 Cu 2.84
4 Ag 0.0000 0.0000 0.0000  6 Al 2.79, 6 Ag 2.84

Its space-group type is R-3m, No. 166. The relative energy among the computed polymorphs is 2.3 kJ per mole of atoms. The formation energy is -0.46 eV/f.u.

=====

Number 1: magnetic moment 4.81 μB/f.u., N(E_F) 0.363 states/eV per atom. Number 2: magnetic moment 0.00 μB/f.u., N(E_F) 0.260 states/eV per atom. Number 3: magnetic moment 0.00 μB/f.u., N(E_F) 0.344 states/eV per atom.